No. 1
First-principles (PBE) data for crystalline Te2IrCl at its relaxed geometry, as listed in Alexandria via LeMat-Bulk.

a = 3.704 Å, b = 3.978 Å, c = 6.986 Å
α = 90.00°, β = 90.00°, γ = 90.00°
Fractional positions:
Te 0.000 0.000 0.000
Te 0.500 0.000 0.500
Ir 0.000 0.500 0.500
Cl 0.500 0.500 0.000

## Properties
- ΔE to the lowest computed polymorph: 994.1 meV per atom
- Calculated volume: 25.73 Å³/atom
- Raw formation energy: 0.656 eV/atom

***

No. 2
First-principles (PBE) data for crystalline TmScCuSn at its relaxed geometry, as listed in Alexandria via LeMat-Bulk.

a = 7.011 Å, b = 7.011 Å, c = 7.011 Å
α = 90.00°, β = 90.00°, γ = 90.00°
Fractional positions:
Tm 0.000 0.000 0.000
Tm 0.000 0.500 0.500
Tm 0.500 0.000 0.500
Tm 0.500 0.500 0.000
Sc 0.000 0.000 0.500
Sc 0.000 0.500 0.000
Sc 0.500 0.000 0.000
Sc 0.500 0.500 0.500
Cu 0.250 0.250 0.250
Cu 0.250 0.750 0.750
Cu 0.750 0.250 0.750
Cu 0.750 0.750 0.250
Sn 0.250 0.250 0.750
Sn 0.250 0.750 0.250
Sn 0.750 0.250 0.250
Sn 0.750 0.750 0.750

## Properties
- Energy relative to the elements: -0.41 eV/atom
- Calculated volume: 21.54 Å³/atom

***

No. 3
First-principles (PBE) data for crystalline BiTe2I at its relaxed geometry, as listed in Alexandria via LeMat-Bulk.

a = 7.892 Å, b = 7.892 Å, c = 7.892 Å
α = 90.00°, β = 90.00°, γ = 90.00°
Fractional positions:
Bi 0.000 0.000 0.000
Bi 0.000 0.500 0.500
Bi 0.500 0.000 0.500
Bi 0.500 0.500 0.000
Te 0.250 0.250 0.250
Te 0.250 0.250 0.750
Te 0.250 0.750 0.250
Te 0.250 0.750 0.750
Te 0.750 0.250 0.250
Te 0.750 0.250 0.750
Te 0.750 0.750 0.250
Te 0.750 0.750 0.750
I 0.000 0.000 0.500
I 0.000 0.500 0.000
I 0.500 0.000 0.000
I 0.500 0.500 0.500

## Properties
- ΔE to the lowest computed polymorph: 405.8 meV per atom
- Calculated volume: 30.72 Å³/atom
- Raw formation energy: 0.247 eV/atom

***

No. 4
First-principles (PBE) data for crystalline Pm2SmPb3 at its relaxed geometry, as listed in Alexandria via LeMat-Bulk.

a = 8.091 Å, b = 8.091 Å, c = 9.165 Å
α = 90.00°, β = 90.00°, γ = 143.79°
Fractional positions:
Pm 0.000 0.000 0.000
Pm 0.000 0.000 0.500
Pm 0.333 0.667 0.000
Pm 0.667 0.333 0.000
Sm 0.333 0.667 0.500
Sm 0.667 0.333 0.500
Pb 0.167 0.833 0.251
Pb 0.167 0.833 0.749
Pb 0.500 0.500 0.251
Pb 0.500 0.500 0.749
Pb 0.833 0.167 0.251
Pb 0.833 0.167 0.749

## Properties
- Energy relative to the elements: -0.51 eV/atom
- ΔE to the lowest computed polymorph: 0.0 meV per atom
- Calculated volume: 29.54 Å³/atom

***

No. 5
First-principles (PBE) data for crystalline CsBaAg2 at its relaxed geometry, as listed in Alexandria via LeMat-Bulk.

a = 9.335 Å, b = 9.335 Å, c = 8.567 Å
α = 90.00°, β = 90.00°, γ = 90.00°
Fractional positions:
Cs 0.000 0.000 0.000
Cs 0.000 0.500 0.250
Cs 0.500 0.000 0.750
Cs 0.500 0.500 0.500
Ba 0.000 0.000 0.500
Ba 0.000 0.500 0.750
Ba 0.500 0.000 0.250
Ba 0.500 0.500 0.000
Ag 0.227 0.250 0.625
Ag 0.250 0.727 0.875
Ag 0.250 0.773 0.375
Ag 0.273 0.250 0.125
Ag 0.727 0.750 0.125
Ag 0.750 0.227 0.375
Ag 0.750 0.273 0.875
Ag 0.773 0.750 0.625

## Properties
- Energy relative to the elements: 0.15 eV/atom
- ΔE to the lowest computed polymorph: 244.5 meV per atom
- Calculated volume: 46.66 Å³/atom

***

No. 6
First-principles (PBE) data for crystalline InPt5 at its relaxed geometry, as listed in Alexandria via LeMat-Bulk.

a = 10.736 Å, b = 2.864 Å, c = 6.701 Å
α = 90.00°, β = 107.47°, γ = 90.00°
Fractional positions:
In 0.000 0.000 0.000
In 0.500 0.500 0.000
Pt 0.047 0.000 0.591
Pt 0.165 0.500 0.333
Pt 0.215 0.500 0.932
Pt 0.335 0.000 0.668
Pt 0.381 0.000 0.266
Pt 0.547 0.500 0.591
Pt 0.665 0.000 0.333
Pt 0.715 0.000 0.932
Pt 0.835 0.500 0.668
Pt 0.881 0.500 0.266

## Properties
- Energy relative to the elements: -0.15 eV/atom
- Calculated volume: 16.38 Å³/atom

***

No. 7
First-principles (PBE) data for crystalline Ba2Sr2Hg at its relaxed geometry, as listed in Alexandria via LeMat-Bulk.

a = 8.693 Å, b = 8.693 Å, c = 6.901 Å
α = 90.00°, β = 90.00°, γ = 90.00°
Fractional positions:
Ba 0.172 0.328 0.000
Ba 0.328 0.828 0.000
Ba 0.672 0.172 0.000
Ba 0.828 0.672 0.000
Sr 0.159 0.659 0.500
Sr 0.341 0.159 0.500
Sr 0.659 0.841 0.500
Sr 0.841 0.341 0.500
Hg 0.000 0.000 0.500
Hg 0.500 0.500 0.500

## Properties
- Energy relative to the elements: -0.07 eV/atom
- ΔE to the lowest computed polymorph: 149.0 meV per atom
- Calculated volume: 52.15 Å³/atom

***

No. 8
First-principles (PBE) data for crystalline ZrReIr at its relaxed geometry, as listed in Alexandria via LeMat-Bulk.

a = 6.197 Å, b = 6.197 Å, c = 6.197 Å
α = 90.00°, β = 90.00°, γ = 90.00°
Fractional positions:
Zr 0.000 0.000 0.000
Zr 0.000 0.500 0.500
Zr 0.500 0.000 0.500
Zr 0.500 0.500 0.000
Re 0.000 0.000 0.500
Re 0.000 0.500 0.000
Re 0.500 0.000 0.000
Re 0.500 0.500 0.500
Ir 0.250 0.250 0.250
Ir 0.250 0.750 0.750
Ir 0.750 0.250 0.750
Ir 0.750 0.750 0.250

## Properties
- Energy relative to the elements: 0.19 eV/atom
- ΔE to the lowest computed polymorph: 479.9 meV per atom
- Calculated volume: 19.83 Å³/atom

***

Question: Among the records above, which one has the lowest calculated volume?
Answer: InPt5